## Nd2GePb (PBE)

Data for a relaxed structure of Nd2GePb.

DOS at the Fermi energy	2.85	states/eV/f.u.
total magnetic moment	0.0	μB per formula unit
space group	P2_1/m
energy of formation	-0.680	eV per atom

Unit cell a=6.2763 b=4.2755 c=8.9903 alpha=90.00 beta=107.99 gamma=90.00
Fractional positions:
1 Nd 0.1849 0.2500 0.4196
2 Nd 0.2774 0.7500 0.0571
3 Nd 0.7226 0.2500 0.9429
4 Nd 0.8151 0.7500 0.5804
5 Ge 0.1121 0.2500 0.7966
6 Ge 0.8879 0.7500 0.2034
7 Pb 0.3859 0.7500 0.7063
8 Pb 0.6141 0.2500 0.2937